Here is Li2HgAu9 after structural relaxation from the Alexandria database. Energies are from PBE.

Summary:
- E_tot (eV/cell) = -36.2

Cell lengths 4.1196, 4.1196, 12.4446 Å; angles 90.00, 90.00, 90.00 degrees
Closest atoms and distances in Å follow each position.
Fractional positions:
1 Li 0.0000 0.0000 0.1617  12 Au 2.86-2.91
2 Li 0.0000 0.0000 0.8383  12 Au 2.86-2.91
3 Hg 0.0000 0.0000 0.5000  12 Au 2.91-3.04
4 Au 0.0000 0.5000 0.0000  8 Au 2.87-2.91, 4 Li 2.88
5 Au 0.0000 0.5000 0.3208  2 Li 2.86, 8 Au 2.87-3.04, 2 Hg 3.04
6 Au 0.0000 0.5000 0.6792  2 Li 2.86, 8 Au 2.87-3.04, 2 Hg 3.04
7 Au 0.5000 0.0000 0.0000  8 Au 2.87-2.91, 4 Li 2.88
8 Au 0.5000 0.0000 0.3208  2 Li 2.86, 8 Au 2.87-3.04, 2 Hg 3.04
9 Au 0.5000 0.0000 0.6792  2 Li 2.86, 8 Au 2.87-3.04, 2 Hg 3.04
10 Au 0.5000 0.5000 0.1606  8 Au 2.87, 4 Li 2.91
11 Au 0.5000 0.5000 0.5000  4 Hg 2.91, 8 Au 3.04
12 Au 0.5000 0.5000 0.8394  8 Au 2.87, 4 Li 2.91